No. 1
# AlTcHI2

A relaxed structure of AlTcHI2 (PBE-GGA, Alexandria via LeMat-Bulk).

Fermi-level density of states, states/eV/cell: 2.3

```
data_AlTcHI2
_symmetry_space_group_name_H-M 'P 4/m m m'
_symmetry_Int_Tables_number 123
_symmetry_space_group_name_Hall '-P 4 2'
_cell_length_a 5.5316
_cell_length_b 5.5316
_cell_length_c 4.9578
_cell_angle_alpha 90.00
_cell_angle_beta 90.00
_cell_angle_gamma 90.00
loop_
_atom_site_label
_atom_site_fract_x
_atom_site_fract_y
_atom_site_fract_z
Al1 0.0000 0.0000 0.0000
Tc1 0.0000 0.0000 0.5000
H1 0.5000 0.5000 0.0000
I1 0.0000 0.5000 0.5000
```

No. 2
# Rb3Y3PaS8

A relaxed structure of Rb3Y3PaS8 (PBE-GGA, Alexandria via LeMat-Bulk).

Fermi-level density of states, states/eV/cell: 10.9

```
data_Rb3Y3PaS8
_symmetry_space_group_name_H-M 'R -3 m'
_symmetry_Int_Tables_number 166
_symmetry_space_group_name_Hall '-R 3 2"'
_cell_length_a 8.1201
_cell_length_b 8.1201
_cell_length_c 23.4483
_cell_angle_alpha 90.00
_cell_angle_beta 90.00
_cell_angle_gamma 120.00
loop_
_atom_site_label
_atom_site_fract_x
_atom_site_fract_y
_atom_site_fract_z
Rb1 0.0000 0.5000 0.0000
Y1 0.0000 0.5000 0.5000
Pa1 0.0000 0.0000 0.5000
S1 0.0000 0.0000 0.2301
S2 0.0037 0.5018 0.2291
```

No. 3
# ZrSc2Pt4

A relaxed structure of ZrSc2Pt4 (PBE-GGA, Alexandria via LeMat-Bulk).

E_form, meV per atom: -1060
Fermi-level density of states, states/eV/cell: 13.5

```
data_ZrSc2Pt4
_symmetry_space_group_name_H-M 'C m c m'
_symmetry_Int_Tables_number 63
_symmetry_space_group_name_Hall '-C 2c 2'
_cell_length_a 4.6436
_cell_length_b 8.0212
_cell_length_c 13.6765
_cell_angle_alpha 90.00
_cell_angle_beta 90.00
_cell_angle_gamma 90.00
loop_
_atom_site_label
_atom_site_fract_x
_atom_site_fract_y
_atom_site_fract_z
Zr1 0.0000 0.0008 0.2500
Sc1 0.0000 0.3334 0.0632
Pt1 0.0000 0.0000 0.0000
Pt2 0.0000 0.3323 0.6405
Pt3 0.0000 0.3347 0.2500
```

No. 4
# Mn2CdCo

A relaxed structure of Mn2CdCo (PBE-GGA, Alexandria via LeMat-Bulk).

E_form, meV per atom: 885
Fermi-level density of states, states/eV/cell: 32.7

```
data_Mn2CdCo
_symmetry_space_group_name_H-M 'I -4 2 d'
_symmetry_Int_Tables_number 122
_symmetry_space_group_name_Hall 'I -4 2bw'
_cell_length_a 6.7465
_cell_length_b 6.7465
_cell_length_c 4.9614
_cell_angle_alpha 90.00
_cell_angle_beta 90.00
_cell_angle_gamma 90.00
loop_
_atom_site_label
_atom_site_fract_x
_atom_site_fract_y
_atom_site_fract_z
Mn1 0.1926 0.2500 0.1250
Cd1 0.0000 0.0000 0.5000
Co1 0.0000 0.0000 0.0000
```

No. 5
# HgTe2Pt

A relaxed structure of HgTe2Pt (PBE-GGA, Alexandria via LeMat-Bulk).

Fermi-level density of states, states/eV/cell: 1.1

```
data_HgTe2Pt
_symmetry_space_group_name_H-M 'C 1 m 1'
_symmetry_Int_Tables_number 8
_cell_length_a 6.9835
_cell_length_b 4.0290
_cell_length_c 8.8791
_cell_angle_alpha 90.00
_cell_angle_beta 105.48
_cell_angle_gamma 90.00
loop_
_symmetry_equiv_pos_as_xyz
'x,y,z'
'x,-y,z'
'x+1/2,y+1/2,z'
'x+1/2,-y+1/2,z'
loop_
_atom_site_label
_atom_site_fract_x
_atom_site_fract_y
_atom_site_fract_z
Hg1 0.0000 0.0000 0.0000
Te1 0.2215 0.0000 0.6606
Te2 0.4444 0.0000 0.3349
Pt1 0.3327 0.5000 0.4972
```

No. 6
# LaPm5Tl2

A relaxed structure of LaPm5Tl2 (PBE-GGA, Alexandria via LeMat-Bulk).

E_form, meV per atom: -140
Fermi-level density of states, states/eV/cell: 22.6
Excess energy over the best structure of this formula in the dataset, eV/atom: 0.000

```
data_LaPm5Tl2
_symmetry_space_group_name_H-M 'I m m m'
_symmetry_Int_Tables_number 71
_symmetry_space_group_name_Hall '-I 2 2'
_cell_length_a 3.7552
_cell_length_b 10.8735
_cell_length_c 12.8220
_cell_angle_alpha 90.00
_cell_angle_beta 90.00
_cell_angle_gamma 90.00
loop_
_atom_site_label
_atom_site_fract_x
_atom_site_fract_y
_atom_site_fract_z
La1 0.0000 0.0000 0.0000
Pm1 0.0000 0.2230 0.3622
Pm2 0.0000 0.5000 0.0000
Tl1 0.0000 0.5000 0.2668
```

no.,electronic total energy (eV/atom)
1,-3.33
2,-6.14
3,-7.54
4,-5.71
5,-3.43
6,-4.32